A geometry-optimized CrMo2Br structure, computed with PBE.

For the magnetic moment, the calculation gives 0.74 μB per atom. The value obtained for the energy above the most stable polymorph in this dataset is 9.3 kJ/mol of atoms. The calculation puts the uncorrected formation energy at 589 meV per atom. As for the density: 7.8 Mg/m³.

The structure belongs to space group Cmm2 (No. 35); the cell edges are 3.246, 5.004 and 8.527 Å and the angles 90.00°, 90.00° and 90.00°. Symmetry generates all atoms from Cr at (0.000, 0.000, 0.000), Mo at (0.000, 0.000, 0.466), Mo at (0.000, 0.500, 0.236) and Br at (0.000, 0.500, 0.758).



A geometry-optimized Ce3Er2TmSb6 structure, computed with PBE.

For the magnetic moment, the calculation gives 0.20 μB per atom. The calculation puts the uncorrected formation energy at -1065 meV per atom. As for the density: 7.5 Mg/m³.

The structure belongs to space group C2/m (No. 12); the cell edges are 7.671, 13.285 and 7.655 Å and the angles 90.00°, 109.51° and 90.00°. Symmetry generates all atoms from Ce at (0.000, 0.000, 0.000), Ce at (0.000, 0.333, 0.000), Er at (0.000, 0.167, 0.500), Tm at (0.000, 0.500, 0.500), Sb at (0.247, 0.334, 0.741) and Sb at (0.248, 0.000, 0.741).



A geometry-optimized Ca2TaPb structure, computed with PBE.

The value obtained for the energy of formation is 0.249 eV per atom. For the magnetic moment, the calculation gives 0.00 μB per atom. As for the density: 7.4 Mg/m³.

The structure belongs to space group P4/mmm (No. 123); the cell edges are 3.205, 3.205 and 10.299 Å and the angles 90.00°, 90.00° and 90.00°. Symmetry generates all atoms from Ca at (0.000, 0.000, 0.239), Ta at (0.500, 0.500, 0.000) and Pb at (0.500, 0.500, 0.500).



A geometry-optimized Cr3Rh structure, computed with PBE.

The value obtained for the energy of formation is 0.450 eV per atom. For the magnetic moment, the calculation gives 0.00 μB per atom. The value obtained for the energy above the most stable polymorph in this dataset is 39.3 kJ/mol of atoms. As for the density: 8.2 Mg/m³.

The structure belongs to space group Cmcm (No. 63); the cell edges are 6.618, 7.204 and 4.407 Å and the angles 90.00°, 90.00° and 90.00°. Symmetry generates all atoms from Cr at (0.000, 0.047, 0.250), Cr at (0.168, 0.252, 0.750) and Rh at (0.000, 0.411, 0.250).



A geometry-optimized MoCl2 structure, computed with PBE.

For the magnetic moment, the calculation gives 0.00 μB per atom. The value obtained for the energy above the most stable polymorph in this dataset is 0.0 kJ/mol of atoms. The calculation puts the uncorrected formation energy at -940 meV per atom. As for the density: 3.2 Mg/m³.

The structure belongs to space group Cmce (No. 64); the cell edges are 15.401, 11.569 and 11.547 Å and the angles 90.00°, 90.00° and 90.00°. Symmetry generates all atoms from Mo at (0.000, 0.070, 0.145), Mo at (0.000, 0.144, 0.930), Mo at (0.121, 0.000, 0.000), Cl at (0.000, 0.153, 0.347), Cl at (0.114, 0.071, 0.796), Cl at (0.114, 0.204, 0.071) and Cl at (0.224, 0.000, 0.500).



A geometry-optimized Pm2NdDy structure, computed with PBE.

The value obtained for the energy of formation is 0.015 eV per atom. For the magnetic moment, the calculation gives 0.00 μB per atom. The value obtained for the energy above the most stable polymorph in this dataset is 0.1 kJ/mol of atoms. As for the density: 7.3 Mg/m³.

The structure belongs to space group I-4m2 (No. 119); the cell edges are 5.142, 5.142 and 10.252 Å and the angles 90.00°, 90.00° and 90.00°. Symmetry generates all atoms from Pm at (0.000, 0.000, 0.000), Pm at (0.000, 0.500, 0.250), Nd at (0.000, 0.000, 0.500) and Dy at (0.000, 0.500, 0.750).